--- w ---
A plane-wave DFT calculation with PBE was carried out for an optimized crystal structure of P2PdSCl.

Unit cell a=4.7389 b=4.7389 c=4.7406 alpha=90.00 beta=90.00 gamma=90.00
With the nearest neighbours (Å) after each atom.
Atoms (fractional coordinates):
1 P 0.0000 0.5000 0.0000  2 Pd 2.37
2 P 0.5000 0.0000 0.0000  2 Pd 2.37
3 S 0.0000 0.0000 0.5000  2 Pd 2.37
4 Pd 0.0000 0.0000 0.0000  4 P 2.37, 2 S 2.37
5 Cl 0.5000 0.5000 0.5000  4 S 3.35, 8 P 3.35

Spin magnetization = 0.5 Bohr magnetons per cell
V = 106 Å³/cell

=====

--- x ---
A plane-wave DFT calculation with PBE was carried out for an optimized crystal structure of P2PdSCl.

Unit cell a=4.7033 b=4.7033 c=4.7063 alpha=90.00 beta=90.00 gamma=90.00
With the nearest neighbours (Å) after each atom.
Atoms (fractional coordinates):
1 P 0.0000 0.5000 0.0000  2 Pd 2.35
2 P 0.5000 0.0000 0.0000  2 Pd 2.35
3 S 0.5000 0.5000 0.5000  4 Cl 3.33, 8 P 3.33
4 Pd 0.0000 0.0000 0.0000  4 P 2.35, 2 Cl 2.35
5 Cl 0.0000 0.0000 0.5000  2 Pd 2.35

Spin magnetization = 0.3 Bohr magnetons per cell
V = 104 Å³/cell

=====

Most stable one: x, least stable one: w.

=====

--- w ---
A plane-wave DFT calculation with PBE was carried out for an optimized crystal structure of ScPPdCl2.

Unit cell a=4.7835 b=4.7835 c=5.3731 alpha=90.00 beta=90.00 gamma=90.00
With the nearest neighbours (Å) after each atom.
Atoms (fractional coordinates):
1 Sc 0.0000 0.0000 0.0000  4 Cl 2.39
2 P 0.0000 0.0000 0.5000  2 Sc 2.69
3 Pd 0.5000 0.5000 0.5000  4 P 3.38, 8 Cl 3.60
4 Cl 0.0000 0.5000 0.0000  2 Sc 2.39
5 Cl 0.5000 0.0000 0.0000  2 Sc 2.39

Spin magnetization = 1.0 Bohr magnetons per cell
V = 123 Å³/cell

=====

--- x ---
A plane-wave DFT calculation with PBE was carried out for an optimized crystal structure of ScPPdCl2.

Unit cell a=4.6923 b=4.6923 c=4.9508 alpha=90.00 beta=90.00 gamma=90.00
With the nearest neighbours (Å) after each atom.
Atoms (fractional coordinates):
1 Sc 0.5000 0.5000 0.5000  4 P 3.32, 8 Cl 3.41
2 P 0.0000 0.0000 0.5000  2 Pd 2.48
3 Pd 0.0000 0.0000 0.0000  4 Cl 2.35, 2 P 2.48
4 Cl 0.0000 0.5000 0.0000  2 Pd 2.35
5 Cl 0.5000 0.0000 0.0000  2 Pd 2.35

Spin magnetization = 0.1 Bohr magnetons per cell
V = 109 Å³/cell

=====

Most stable one: w, least stable one: x.

=====

--- w ---
A plane-wave DFT calculation with PBE was carried out for an optimized crystal structure of ScP2PdCl.

Unit cell a=4.9993 b=4.9993 c=4.7674 alpha=90.00 beta=90.00 gamma=90.00
With the nearest neighbours (Å) after each atom.
Atoms (fractional coordinates):
1 Sc 0.0000 0.0000 0.0000  2 Cl 2.38, 4 P 2.50
2 P 0.0000 0.5000 0.0000  2 Sc 2.50
3 P 0.5000 0.0000 0.0000  2 Sc 2.50
4 Pd 0.5000 0.5000 0.5000  8 P 3.45, 4 Cl 3.54
5 Cl 0.0000 0.0000 0.5000  2 Sc 2.38

Spin magnetization = 0.0 Bohr magnetons per cell
V = 119 Å³/cell

=====

--- x ---
A plane-wave DFT calculation with PBE was carried out for an optimized crystal structure of ScP2PdCl.

Unit cell a=4.6517 b=4.6517 c=4.8308 alpha=90.00 beta=90.00 gamma=90.00
With the nearest neighbours (Å) after each atom.
Atoms (fractional coordinates):
1 Sc 0.5000 0.5000 0.5000  4 Cl 3.29, 8 P 3.35
2 P 0.0000 0.5000 0.0000  2 Pd 2.33
3 P 0.5000 0.0000 0.0000  2 Pd 2.33
4 Pd 0.0000 0.0000 0.0000  4 P 2.33, 2 Cl 2.42
5 Cl 0.0000 0.0000 0.5000  2 Pd 2.42

Spin magnetization = 0.0 Bohr magnetons per cell
V = 105 Å³/cell

=====

Most stable one: x, least stable one: w.

=====

--- w ---
A plane-wave DFT calculation with PBE was carried out for an optimized crystal structure of SrP2PdCl.

Unit cell a=4.5383 b=4.5383 c=6.1753 alpha=90.00 beta=90.00 gamma=90.00
With the nearest neighbours (Å) after each atom.
Atoms (fractional coordinates):
1 Sr 0.5000 0.5000 0.5000  4 Cl 3.21
2 P 0.0000 0.5000 0.0000  2 Pd 2.27
3 P 0.5000 0.0000 0.0000  2 Pd 2.27
4 Pd 0.0000 0.0000 0.0000  4 P 2.27
5 Cl 0.0000 0.0000 0.5000  2 Pd 3.09, 4 Sr 3.21

Spin magnetization = 1.1 Bohr magnetons per cell
V = 127 Å³/cell

=====

--- x ---
A plane-wave DFT calculation with PBE was carried out for an optimized crystal structure of SrP2PdCl.

Unit cell a=5.7742 b=5.7742 c=5.3649 alpha=90.00 beta=90.00 gamma=90.00
With the nearest neighbours (Å) after each atom.
Atoms (fractional coordinates):
1 Sr 0.0000 0.0000 0.0000  2 Cl 2.68, 4 P 2.89
2 P 0.0000 0.5000 0.0000  2 Sr 2.89
3 P 0.5000 0.0000 0.0000  2 Sr 2.89
4 Pd 0.5000 0.5000 0.5000  8 P 3.94, 4 Cl 4.08
5 Cl 0.0000 0.0000 0.5000  2 Sr 2.68

Spin magnetization = 3.0 Bohr magnetons per cell
V = 179 Å³/cell

=====

Most stable one: w, least stable one: x.

=====

--- w ---
A plane-wave DFT calculation with PBE was carried out for an optimized crystal structure of SrPPdCl2.

Unit cell a=5.0238 b=5.0238 c=4.7325 alpha=90.00 beta=90.00 gamma=90.00
With the nearest neighbours (Å) after each atom.
Atoms (fractional coordinates):
1 Sr 0.5000 0.5000 0.5000  8 Cl 3.45, 4 P 3.55
2 P 0.0000 0.0000 0.5000  2 Pd 2.37
3 Pd 0.0000 0.0000 0.0000  2 P 2.37, 4 Cl 2.51
4 Cl 0.0000 0.5000 0.0000  2 Pd 2.51
5 Cl 0.5000 0.0000 0.0000  2 Pd 2.51

Spin magnetization = 0.0 Bohr magnetons per cell
V = 119 Å³/cell

=====

--- x ---
A plane-wave DFT calculation with PBE was carried out for an optimized crystal structure of SrPPdCl2.

Unit cell a=5.4945 b=5.4945 c=6.1909 alpha=90.00 beta=90.00 gamma=90.00
With the nearest neighbours (Å) after each atom.
Atoms (fractional coordinates):
1 Sr 0.0000 0.0000 0.0000  4 Cl 2.75
2 P 0.0000 0.0000 0.5000  2 Sr 3.10
3 Pd 0.5000 0.5000 0.5000  4 P 3.89, 8 Cl 4.14
4 Cl 0.0000 0.5000 0.0000  2 Sr 2.75
5 Cl 0.5000 0.0000 0.0000  2 Sr 2.75

Spin magnetization = 2.2 Bohr magnetons per cell
V = 187 Å³/cell

=====

Most stable one: w, least stable one: x.

=====

--- w ---
A plane-wave DFT calculation with PBE was carried out for an optimized crystal structure of TaPPdCl2.

Unit cell a=4.7479 b=4.7479 c=4.9581 alpha=90.00 beta=90.00 gamma=90.00
With the nearest neighbours (Å) after each atom.
Atoms (fractional coordinates):
1 P 0.0000 0.0000 0.5000  2 Ta 2.48
2 Cl 0.0000 0.5000 0.0000  2 Ta 2.37
3 Cl 0.5000 0.0000 0.0000  2 Ta 2.37
4 Pd 0.5000 0.5000 0.5000  4 P 3.36, 8 Cl 3.43
5 Ta 0.0000 0.0000 0.0000  4 Cl 2.37, 2 P 2.48

Spin magnetization = 0.3 Bohr magnetons per cell
V = 112 Å³/cell

=====

--- x ---
A plane-wave DFT calculation with PBE was carried out for an optimized crystal structure of TaPPdCl2.

Unit cell a=4.6342 b=4.6342 c=4.9036 alpha=90.00 beta=90.00 gamma=90.00
With the nearest neighbours (Å) after each atom.
Atoms (fractional coordinates):
1 P 0.0000 0.0000 0.5000  2 Pd 2.45
2 Cl 0.0000 0.5000 0.0000  2 Pd 2.32
3 Cl 0.5000 0.0000 0.0000  2 Pd 2.32
4 Pd 0.0000 0.0000 0.0000  4 Cl 2.32, 2 P 2.45
5 Ta 0.5000 0.5000 0.5000  4 P 3.28, 8 Cl 3.37

Spin magnetization = 2.1 Bohr magnetons per cell
V = 105 Å³/cell

=====

Most stable one: w, least stable one: x.

=====

--- w ---
A plane-wave DFT calculation with PBE was carried out for an optimized crystal structure of TcP2PdCl.

Unit cell a=4.6708 b=4.6708 c=4.7954 alpha=90.00 beta=90.00 gamma=90.00
With the nearest neighbours (Å) after each atom.
Atoms (fractional coordinates):
1 P 0.0000 0.5000 0.0000  2 Pd 2.34
2 P 0.5000 0.0000 0.0000  2 Pd 2.34
3 Tc 0.5000 0.5000 0.5000  4 Cl 3.30, 8 P 3.35
4 Pd 0.0000 0.0000 0.0000  4 P 2.34, 2 Cl 2.40
5 Cl 0.0000 0.0000 0.5000  2 Pd 2.40

Spin magnetization = 3.2 Bohr magnetons per cell
V = 105 Å³/cell

=====

--- x ---
A plane-wave DFT calculation with PBE was carried out for an optimized crystal structure of TcP2PdCl.

Unit cell a=4.5136 b=4.5136 c=5.0300 alpha=90.00 beta=90.00 gamma=90.00
With the nearest neighbours (Å) after each atom.
Atoms (fractional coordinates):
1 P 0.0000 0.5000 0.0000  2 Tc 2.26
2 P 0.5000 0.0000 0.0000  2 Tc 2.26
3 Tc 0.0000 0.0000 0.0000  4 P 2.26, 2 Cl 2.51
4 Pd 0.5000 0.5000 0.5000  4 Cl 3.19, 8 P 3.38
5 Cl 0.0000 0.0000 0.5000  2 Tc 2.51

Spin magnetization = 0.0 Bohr magnetons per cell
V = 102 Å³/cell

=====

Most stable one: x, least stable one: w.